1.
## CrSb2Pt (meta-GGA SCAN)

Data for CrSb2Pt at its PBEsol-relaxed geometry.

Lattice parameters (Å, degrees): 4.432 5.085 6.685 90.00 90.00 90.00
Space group Cmmm (No. 65)
One atom of each set of equivalent atoms:
Cr 0.000 0.000 0.000 (multiplicity 2)
Sb 0.000 0.500 0.249 (multiplicity 4)
Pt 0.000 0.000 0.500 (multiplicity 2)

**Formation energy (no corrections)**: 0.142 eV per atom
**ρ**: 10813 kg/m3
**Final energy**: -325.06 eV for the cell shown
**Energy above the most stable polymorph in this dataset**: 196 meV/atom

2.
## LiZrPd2 (meta-GGA SCAN)

Data for LiZrPd2 at its PBEsol-relaxed geometry.

Lattice parameters (Å, degrees): 6.340 6.340 6.340 90.00 90.00 90.00
Space group Fm-3m (No. 225)
One atom of each set of equivalent atoms:
Li 0.000 0.000 0.000 (multiplicity 4)
Zr 0.000 0.000 0.500 (multiplicity 4)
Pd 0.250 0.250 0.250 (multiplicity 8)

**ρ**: 8106 kg/m3
**E_form**: -251 kJ/mol of formula units
**Final energy**: -404.93 eV for the cell shown